Entry 1:
ZrBeRuI2 | Alexandria | PBE-GGA | optimized geometry; D(E_F) = 2.61 states/eV/f.u.; E_form (uncorrected) = 1046 meV/atom; energy relative to the lowest polymorph listed for this composition = 0.089 eV per atom; electronic total energy = -3.88 eV/atom
1.0
5.759 0.000 0.000
0.000 4.981 0.000
0.000 0.000 5.759
I Ru Zr Be
2 1 1 1
Direct
0.000 0.000 0.500
0.500 0.000 0.000
0.000 0.500 0.000
0.000 0.000 0.000
0.500 0.500 0.500

=====

Entry 2:
BeS2I | Alexandria | PBE-GGA | optimized geometry; D(E_F) = 5.62 states/eV/f.u.; E_form (uncorrected) = 75 meV/atom; energy relative to the lowest polymorph listed for this composition = 0.123 eV per atom; electronic total energy = -3.31 eV/atom
1.0
-4.401 -1.782 3.861
1.002 -5.834 -1.551
1.478 -4.180 4.605
I Be S
2 2 4
Direct
0.000 0.000 0.000
0.750 0.250 0.500
0.500 0.500 0.000
0.250 0.750 0.500
0.510 0.125 0.250
0.240 0.625 0.250
0.375 0.490 0.750
0.875 0.760 0.750